(1)
Density functional theory data (PBE) for crystalline Zr6FeSn2 at its relaxed geometry.

```
Zr6FeSn2
1.0
8.015 0.000 0.000
-4.007 6.941 0.000
0.000 0.000 3.471
Zr Fe Sn
6 1 2
direct
0.000 0.393 0.000 Zr
0.000 0.759 0.500 Zr
0.241 0.241 0.500 Zr
0.393 0.000 0.000 Zr
0.607 0.607 0.000 Zr
0.759 0.000 0.500 Zr
0.000 0.000 0.000 Fe
0.333 0.667 0.500 Sn
0.667 0.333 0.500 Sn
```

magnetization	0.002	μB/atom
symmetry	P-62m (189)
calculated volume	193	Å³ per cell
raw total energy	-71.19	eV per cell

***

(2)
Density functional theory data (PBE) for crystalline SrDy2Se4 at its relaxed geometry.

```
SrDy2Se4
1.0
-4.597 4.597 3.319
4.597 -4.597 3.319
4.597 4.597 -3.319
Sr Dy Se
1 2 4
direct
0.000 0.000 0.000 Sr
0.250 0.750 0.500 Dy
0.750 0.250 0.500 Dy
0.232 0.500 0.732 Se
0.500 0.232 0.732 Se
0.500 0.768 0.268 Se
0.768 0.500 0.268 Se
```

magnetization	0.000	μB/atom
symmetry	I4/mmm (139)
calculated volume	281	Å³ per cell
distance to the lowest polymorph of the same formula	824	meV/atom